Y2ReHg after structural relaxation, computed with GGA-PBEsol.

Output
Density of states at the Fermi level in states/eV/atom: 0.96
Crystal system: tetragonal
ΔE_f in meV/atom: -31

a = 3.576 Å, b = 4.909 Å, c = 4.909 Å
α = 90.00°, β = 90.00°, γ = 90.00°
Atoms (fractional coordinates):
Hg  0.500  0.500  0.500
Y  0.000  0.500  0.000
Y  0.000  0.000  0.500
Re  0.500  0.000  0.000